## Li2DyTm2In2 (PBE-GGA)

Data for a relaxed structure of Li2DyTm2In2.

Computed properties:
- Energy: -3.477 eV/atom
- ΔH_f (0 K): -20.5 kJ/mol of atoms
- Size of the total moment: 0.0000 μB per atom

a b c (Å): 9.139 9.139 9.139
angles (deg): 30.67 30.67 30.67
Fractional positions:
Li (0.101, 0.101, 0.101)
Li (0.899, 0.899, 0.899)
Dy (0.500, 0.500, 0.500)
Tm (0.372, 0.372, 0.372)
Tm (0.628, 0.628, 0.628)
In (0.239, 0.239, 0.239)
In (0.761, 0.761, 0.761)